Record 1
Compound: ThPaPt2
Source: the Alexandria database
Functional: PBE-GGA
Structure: relaxed

Unit cell a=3.573 b=3.573 c=7.159 alpha=90.00 beta=90.00 gamma=90.00
Space group P4/mmm (No. 123)
Symmetry-distinct sites (fractional):
Th 0.000 0.000 0.000 x1
Pa 0.000 0.000 0.500 x1
Pt 0.500 0.500 0.278 x2

Properties
Formation energy   -0.884 eV/atom
Theoretical density   15.50 g/cm3
Polymorph energy (0 for the lowest one)   119 meV per atom



Record 2
Compound: Pr8Dy2Ho3
Source: the Alexandria database
Functional: PBE-GGA
Structure: relaxed

Unit cell a=20.533 b=7.756 c=5.773 alpha=90.00 beta=90.02 gamma=90.00
Space group C2/m (No. 12)
Symmetry-distinct sites (fractional):
Pr 0.105 0.204 0.000 x8
Pr 0.131 0.500 0.500 x4
Pr 0.174 0.000 0.501 x4
Dy 0.240 0.500 0.999 x4
Ho 0.000 0.215 0.500 x4
Ho 0.000 0.500 0.000 x2

Properties
Formation energy   0.197 eV/atom
Theoretical density   7.03 g/cm3



Record 3
Compound: Li3ThPd4
Source: the Alexandria database
Functional: PBE-GGA
Structure: relaxed

Unit cell a=6.470 b=6.470 c=6.470 alpha=90.00 beta=90.00 gamma=90.00
Space group Im-3m (No. 229)
Symmetry-distinct sites (fractional):
Li 0.000 0.000 0.500 x6
Th 0.000 0.000 0.000 x2
Pd 0.250 0.250 0.250 x8

Properties
Formation energy   -0.538 eV/atom
Theoretical density   8.32 g/cm3



Record 4
Compound: LiSiB
Source: the Alexandria database
Functional: PBE-GGA
Structure: relaxed

Unit cell a=3.407 b=4.822 c=5.232 alpha=80.16 beta=88.19 gamma=72.13
Space group P1 (No. 1)
Symmetry-distinct sites (fractional):
Li 0.000 0.000 0.000 x1
Li 0.292 0.429 0.701 x1
Si 0.011 0.019 0.502 x1
Si 0.683 0.513 0.220 x1
B 0.285 0.280 0.205 x1
B 0.567 0.917 0.309 x1

Properties
Uncorrected formation energy   0.028 eV/atom
Theoretical density   1.89 g/cm3